DFT (PBE) results for a relaxed structure of ZrSiOs2.

Properties
M_tot   0.000 μB/atom
Raw formation energy   11.1 kJ/mol of atoms
SG   I-42d
VASP energy   -8.99 eV per atom

```
data_ZrSiOs2
_chemical_formula_sum 'Zr2 Si2 Os4'
_cell_length_a 7.0653
_cell_length_b 7.0653
_cell_length_c 5.6964
_cell_angle_alpha 51.67
_cell_angle_beta 51.67
_cell_angle_gamma 90.00
_symmetry_space_group_name_H-M 'P 1'
_symmetry_Int_Tables_number 1
_symmetry_space_group_name_Hall 'P 1'
loop_
_atom_site_label
_atom_site_type_symbol
_atom_site_fract_x
_atom_site_fract_y
_atom_site_fract_z
_atom_site_occupancy
Os1 Os 0.3750 0.4417 0.7500 1
Os2 Os 0.5583 0.1250 0.2500 1
Os3 Os 0.1917 0.6250 0.2500 1
Os4 Os 0.8750 0.8083 0.7500 1
Si1 Si 0.2500 0.7500 0.5000 1
Si2 Si 0.5000 0.5000 0.0000 1
Zr1 Zr 0.0000 0.0000 0.0000 1
Zr2 Zr 0.7500 0.2500 0.5000 1
```